[1]
A plane-wave DFT calculation with PBE was carried out for Ta2InRh after structural relaxation.

Cell lengths 5.4880, 5.4880, 5.4880 Å; angles 144.75, 131.95, 60.98 degrees
Fractional coordinates of all 4 atoms:
Ta: 0.7394 0.7394 0.0000
Ta: 0.2606 0.2606 0.0000
Rh: 0.5000 0.0000 0.5000
In: 0.0000 0.5000 0.5000

Values from the calculation:
space group = Immm, No. 71
electronic total energy = -8.593 eV/atom
D(E_F) = 2.85 states/eV/f.u.
ΔE_f = -143.8 meV/atom

=====

[2]
A plane-wave DFT calculation with PBE was carried out for TlSn2Pb2 after structural relaxation.

Cell lengths 9.3627, 9.3627, 3.5915 Å; angles 90.00, 90.00, 90.00 degrees
Fractional coordinates of all 10 atoms:
Sn: 0.6474 0.1474 0.0000
Sn: 0.3526 0.8526 0.0000
Sn: 0.8526 0.6474 0.0000
Sn: 0.1474 0.3526 0.0000
Tl: 0.0000 0.0000 0.0000
Tl: 0.5000 0.5000 0.0000
Pb: 0.6470 0.8530 0.5000
Pb: 0.3530 0.1470 0.5000
Pb: 0.1470 0.6470 0.5000
Pb: 0.8530 0.3530 0.5000

Values from the calculation:
space group = P4/mbm, No. 127
electronic total energy = -3.501 eV/atom
D(E_F) = 3.26 states/eV/f.u.
energy relative to the lowest polymorph listed for this composition = 12 meV per atom
ΔE_f = 56.4 meV/atom

=====

Copy entry 1 word for word.
A plane-wave DFT calculation with PBE was carried out for Ta2InRh after structural relaxation.

Cell lengths 5.4880, 5.4880, 5.4880 Å; angles 144.75, 131.95, 60.98 degrees
Fractional coordinates of all 4 atoms:
Ta: 0.7394 0.7394 0.0000
Ta: 0.2606 0.2606 0.0000
Rh: 0.5000 0.0000 0.5000
In: 0.0000 0.5000 0.5000

Values from the calculation:
space group = Immm, No. 71
electronic total energy = -8.593 eV/atom
D(E_F) = 2.85 states/eV/f.u.
ΔE_f = -143.8 meV/atom

=====

Question: Which of these has the lowest D(E_F)?
Answer: Ta2InRh